AcTb3Pm6Er2, relaxed, DFT PBE; energy relative to the elements = 0.0271 eV/atom; symmetry = C2/m (12); spin magnetization = 0.00 μB per cell
1.0
-5.676 2.710 -0.155
1.901 -3.022 5.181
5.952 10.167 2.469
Tb Pm Er Ac
3 6 2 1
Direct
0.833 0.167 0.500 Tb
0.500 0.500 0.500 Tb
0.167 0.833 0.500 Tb
0.085 0.422 0.253 Pm
0.915 0.578 0.747 Pm
0.578 0.915 0.747 Pm
0.252 0.252 0.746 Pm
0.422 0.085 0.253 Pm
0.748 0.748 0.254 Pm
0.333 0.667 0.000 Er
0.667 0.333 0.000 Er
0.000 0.000 0.000 Ac

=====

AcTb2PmEr5, relaxed, DFT PBE; energy relative to the elements = 0.2679 eV/atom; symmetry = I4/mcm (140); spin magnetization = 0.00 μB per cell
1.0
-2.135 -4.512 -7.348
-6.127 -4.533 4.564
-1.062 9.798 -0.339
Tb Er Pm Ac
4 10 2 2
Direct
0.115 0.385 0.000 Tb
0.615 0.115 0.000 Tb
0.885 0.615 0.000 Tb
0.385 0.885 0.000 Tb
0.425 0.331 0.256 Er
0.075 0.575 0.744 Er
0.831 0.925 0.256 Er
0.331 0.831 0.256 Er
0.925 0.425 0.256 Er
0.000 0.000 0.000 Er
0.500 0.500 0.000 Er
0.669 0.169 0.744 Er
0.169 0.075 0.744 Er
0.575 0.669 0.744 Er
0.750 0.250 0.500 Pm
0.250 0.750 0.500 Pm
0.750 0.750 0.500 Ac
0.250 0.250 0.500 Ac

=====

AcTb4Pm2Er, relaxed, DFT PBE; energy relative to the elements = 0.0339 eV/atom; symmetry = Pmmm (47); spin magnetization = 0.00 μB per cell
1.0
-1.038 4.575 2.118
-4.020 -2.043 2.441
1.987 -4.364 10.401
Pm Tb Ac Er
2 4 1 1
Direct
0.500 0.000 0.500 Pm
0.000 0.000 0.000 Pm
0.000 0.758 0.742 Tb
0.500 0.742 0.258 Tb
0.500 0.258 0.742 Tb
0.000 0.242 0.258 Tb
0.500 0.500 0.000 Ac
0.000 0.500 0.500 Er

=====

AcTb2Pm6Er3, relaxed, DFT PBE; energy relative to the elements = 0.0287 eV/atom; symmetry = C2/m (12); spin magnetization = 0.00 μB per cell
1.0
6.290 -0.001 0.015
-3.144 5.448 0.015
-1.077 -1.864 11.798
Er Pm Tb Ac
3 6 2 1
Direct
0.167 0.833 0.500 Er
0.500 0.500 0.500 Er
0.833 0.167 0.500 Er
0.422 0.086 0.256 Pm
0.086 0.422 0.256 Pm
0.578 0.914 0.744 Pm
0.750 0.750 0.256 Pm
0.914 0.578 0.744 Pm
0.250 0.250 0.744 Pm
0.333 0.667 0.000 Tb
0.667 0.333 0.000 Tb
0.000 0.000 0.000 Ac

=====

AcTb6Pm2Er, relaxed, DFT PBE; energy relative to the elements = 0.1254 eV/atom; symmetry = C2/c (15); spin magnetization = 0.00 μB per cell
1.0
-8.512 2.581 -3.704
-3.469 -1.461 8.145
3.673 8.015 -1.665
Tb Pm Ac Er
12 4 2 2
Direct
0.942 0.867 0.253 Tb
0.883 0.289 0.504 Tb
0.686 0.017 0.562 Tb
0.814 0.438 0.983 Tb
0.383 0.504 0.289 Tb
0.314 0.983 0.438 Tb
0.117 0.711 0.496 Tb
0.186 0.562 0.017 Tb
0.558 0.747 0.133 Tb
0.617 0.496 0.711 Tb
0.442 0.253 0.867 Tb
0.058 0.133 0.747 Tb
0.953 0.685 0.800 Pm
0.047 0.315 0.200 Pm
0.453 0.800 0.685 Pm
0.547 0.200 0.315 Pm
0.750 0.025 0.975 Ac
0.250 0.975 0.025 Ac
0.750 0.589 0.411 Er
0.250 0.411 0.589 Er

=====

AcTb2Pm2Er2, relaxed, DFT PBE; energy relative to the elements = 0.0440 eV/atom; symmetry = C2/m (12); spin magnetization = 0.03 μB per cell
1.0
-4.257 -2.114 -1.964
3.655 -4.044 3.163
-4.283 2.753 6.318
Er Tb Pm Ac
2 2 2 1
Direct
0.858 0.715 0.566 Er
0.142 0.285 0.434 Er
0.426 0.852 0.294 Tb
0.574 0.148 0.706 Tb
0.715 0.430 0.151 Pm
0.285 0.570 0.849 Pm
0.000 0.000 0.000 Ac

=====

AcTb2Pm6Er, relaxed, DFT PBE; energy relative to the elements = 0.1206 eV/atom; symmetry = C2/c (15); spin magnetization = 0.00 μB per cell
1.0
1.481 -0.869 -9.539
-7.921 -4.377 -0.368
-0.150 9.048 -0.385
Pm Tb Er Ac
12 4 2 2
Direct
0.945 0.871 0.246 Pm
0.686 0.010 0.558 Pm
0.814 0.442 0.990 Pm
0.555 0.754 0.129 Pm
0.617 0.493 0.712 Pm
0.883 0.288 0.507 Pm
0.117 0.712 0.493 Pm
0.445 0.246 0.871 Pm
0.314 0.990 0.442 Pm
0.186 0.558 0.010 Pm
0.383 0.507 0.288 Pm
0.055 0.129 0.754 Pm
0.453 0.796 0.683 Tb
0.547 0.204 0.317 Tb
0.047 0.317 0.204 Tb
0.953 0.683 0.796 Tb
0.250 0.413 0.587 Er
0.750 0.587 0.413 Er
0.250 0.974 0.026 Ac
0.750 0.026 0.974 Ac

=====

AcTb5PmEr2, relaxed, DFT PBE; energy relative to the elements = 0.1536 eV/atom; symmetry = Cmc2_1 (36); spin magnetization = 0.00 μB per cell
1.0
-0.070 -3.225 4.502
10.387 -3.253 -5.576
4.641 6.595 4.797
Tb Er Ac Pm
10 4 2 2
Direct
0.992 0.985 0.026 Tb
0.525 0.049 0.250 Tb
0.742 0.484 0.863 Tb
0.008 0.015 0.526 Tb
0.690 0.380 0.228 Tb
0.310 0.620 0.728 Tb
0.258 0.516 0.363 Tb
0.475 0.951 0.750 Tb
0.603 0.205 0.531 Tb
0.397 0.795 0.031 Tb
0.112 0.225 0.288 Er
0.888 0.775 0.788 Er
0.170 0.341 0.673 Er
0.830 0.659 0.173 Er
0.602 0.204 0.927 Ac
0.398 0.796 0.427 Ac
0.238 0.477 0.037 Pm
0.762 0.523 0.537 Pm

=====

Ac2PmErTe6, relaxed, DFT PBE; symmetry = R3 (146); ΔE_f (raw) = -1443 meV per atom; spin magnetization = 0.00 μB per cell
1.0
-5.757 0.115 -5.737
2.057 -0.677 -7.835
-1.826 -7.241 -4.069
Te Er Ac Pm
6 1 2 1
Direct
0.447 0.690 0.765 Te
0.690 0.098 0.765 Te
0.197 0.955 0.259 Te
0.955 0.589 0.259 Te
0.589 0.197 0.259 Te
0.098 0.447 0.765 Te
0.322 0.322 0.035 Er
0.522 0.522 0.433 Ac
0.021 0.021 0.936 Ac
0.821 0.821 0.538 Pm

=====

Ac3Pm2ErTe6, relaxed, DFT PBE; symmetry = C2/m (12); ΔE_f (raw) = -1413 meV per atom; spin magnetization = 0.00 μB per cell
1.0
4.505 0.000 0.000
0.000 9.293 0.171
-2.252 -2.846 9.647
Te Ac Er Pm
6 3 1 2
Direct
0.331 0.426 0.661 Te
0.658 0.091 0.315 Te
0.669 0.574 0.339 Te
0.003 0.231 0.006 Te
0.997 0.769 0.994 Te
0.342 0.909 0.685 Te
0.830 0.165 0.659 Ac
0.170 0.835 0.341 Ac
0.500 0.500 0.000 Ac
0.500 0.000 0.000 Er
0.169 0.336 0.338 Pm
0.831 0.664 0.662 Pm

=====

AcPmErTh, relaxed, DFT PBE; energy relative to the elements = 0.1639 eV/atom; symmetry = F-43m (216); spin magnetization = 0.00 μB per cell
1.0
5.837 0.000 0.000
2.919 5.055 0.000
2.919 1.685 4.766
Er Pm Ac Th
1 1 1 1
Direct
0.000 0.000 0.000 Er
0.500 0.500 0.500 Pm
0.250 0.250 0.250 Ac
0.750 0.750 0.750 Th

=====

AcPm2ErTl4, relaxed, DFT PBE; energy relative to the elements = -0.3316 eV/atom; symmetry = R-3m (166); spin magnetization = 0.00 μB per cell
1.0
5.539 0.000 0.000
2.770 4.797 0.000
2.770 1.599 9.139
Ac Tl Er Pm
1 4 1 2
Direct
0.000 0.000 0.000 Ac
0.380 0.380 0.860 Tl
0.872 0.872 0.385 Tl
0.128 0.128 0.615 Tl
0.620 0.620 0.140 Tl
0.500 0.500 0.500 Er
0.752 0.752 0.744 Pm
0.248 0.248 0.256 Pm

=====

AcPm2ErTm, relaxed, DFT PBE; energy relative to the elements = 0.0458 eV/atom; symmetry = P2_1/m (11); spin magnetization = 0.00 μB per cell
1.0
-2.405 1.256 5.195
-8.696 -3.285 -3.232
3.241 -4.841 2.671
Pm Ac Tm Er
4 2 2 2
Direct
0.250 0.503 0.165 Pm
0.750 0.699 0.433 Pm
0.250 0.301 0.567 Pm
0.750 0.497 0.835 Pm
0.250 0.106 0.968 Ac
0.750 0.894 0.032 Ac
0.750 0.309 0.243 Tm
0.250 0.691 0.757 Tm
0.250 0.895 0.372 Er
0.750 0.105 0.628 Er

=====

AcPmErTm, relaxed, DFT PBE; energy relative to the elements = 0.0727 eV/atom; symmetry = Cm (8); spin magnetization = 0.00 μB per cell; energy above the most stable polymorph in this dataset = 0 meV per atom
1.0
3.676 0.001 0.001
-1.837 3.183 0.002
-1.833 -1.068 11.870
Pm Er Ac Tm
1 1 1 1
Direct
0.479 0.137 0.632 Pm
0.305 0.550 0.872 Er
0.965 0.381 0.361 Ac
0.129 0.963 0.105 Tm

=====

AcPmEr2Tm, relaxed, DFT PBE; energy relative to the elements = 0.3956 eV/atom; symmetry = Cmcm (63); spin magnetization = 0.00 μB per cell
1.0
-4.986 0.055 -4.052
4.053 -0.041 -4.988
-2.120 -8.783 2.490
Tm Ac Er Pm
2 2 4 2
Direct
0.750 0.749 0.497 Tm
0.250 0.251 0.503 Tm
0.250 0.659 0.318 Ac
0.750 0.341 0.682 Ac
0.500 0.248 0.000 Er
0.500 0.752 0.000 Er
0.000 0.752 0.000 Er
0.000 0.248 0.000 Er
0.750 0.153 0.305 Pm
0.250 0.847 0.695 Pm

=====

AcPm6ErTm2, relaxed, DFT PBE; energy relative to the elements = 0.1218 eV/atom; symmetry = C2/c (15); spin magnetization = 0.00 μB per cell
1.0
9.202 -1.979 -2.054
0.975 8.713 -2.012
0.975 -2.333 8.632
Er Pm Ac Tm
2 12 2 4
Direct
0.750 0.586 0.414 Er
0.250 0.414 0.586 Er
0.683 0.005 0.552 Pm
0.945 0.877 0.243 Pm
0.317 0.995 0.448 Pm
0.117 0.711 0.486 Pm
0.055 0.123 0.757 Pm
0.445 0.243 0.877 Pm
0.617 0.486 0.711 Pm
0.555 0.757 0.123 Pm
0.183 0.552 0.005 Pm
0.383 0.514 0.289 Pm
0.883 0.289 0.514 Pm
0.817 0.448 0.995 Pm
0.750 0.030 0.970 Ac
0.250 0.970 0.030 Ac
0.951 0.684 0.792 Tm
0.451 0.792 0.684 Tm
0.549 0.208 0.316 Tm
0.049 0.316 0.208 Tm

=====

AcPmErTm, relaxed, DFT PBE; energy relative to the elements = 0.1062 eV/atom; symmetry = F-43m (216); spin magnetization = 0.00 μB per cell; energy above the most stable polymorph in this dataset = 34 meV per atom
1.0
-1.453 -5.230 -2.126
-1.877 -4.189 3.594
-5.590 -1.650 -0.114
Er Pm Tm Ac
1 1 1 1
Direct
0.000 0.000 0.000 Er
0.250 0.250 0.250 Pm
0.500 0.500 0.500 Tm
0.750 0.750 0.750 Ac

=====

AcPm2Er5Tm, relaxed, DFT PBE; energy relative to the elements = 0.2670 eV/atom; symmetry = I4/mcm (140); spin magnetization = 0.00 μB per cell
1.0
8.831 0.000 0.000
0.000 8.831 0.000
-4.416 -4.416 7.676
Er Tm Ac Pm
10 2 2 4
Direct
0.926 0.426 0.264 Er
0.161 0.074 0.736 Er
0.000 0.000 0.000 Er
0.426 0.339 0.264 Er
0.839 0.926 0.264 Er
0.339 0.839 0.264 Er
0.500 0.500 0.000 Er
0.574 0.661 0.736 Er
0.074 0.574 0.736 Er
0.661 0.161 0.736 Er
0.250 0.750 0.500 Tm
0.750 0.250 0.500 Tm
0.250 0.250 0.500 Ac
0.750 0.750 0.500 Ac
0.116 0.384 0.000 Pm
0.384 0.884 0.000 Pm
0.616 0.116 0.000 Pm
0.884 0.616 0.000 Pm

=====

AcPm6Er3Tm2, relaxed, DFT PBE; energy relative to the elements = 0.0313 eV/atom; symmetry = C2/m (12); spin magnetization = 0.00 μB per cell
1.0
-1.817 -1.439 5.823
4.708 -3.151 -2.682
6.714 9.324 3.275
Pm Er Tm Ac
6 3 2 1
Direct
0.251 0.251 0.745 Pm
0.749 0.749 0.255 Pm
0.578 0.915 0.745 Pm
0.915 0.578 0.745 Pm
0.422 0.085 0.255 Pm
0.085 0.422 0.255 Pm
0.167 0.833 0.500 Er
0.500 0.500 0.500 Er
0.833 0.167 0.500 Er
0.333 0.667 0.000 Tm
0.667 0.333 0.000 Tm
0.000 0.000 0.000 Ac

=====

AcPm2Er4Tm, relaxed, DFT PBE; energy relative to the elements = 0.4405 eV/atom; symmetry = C2/c (15); spin magnetization = 1.83 μB per cell
1.0
-8.632 -2.142 3.612
-1.703 -6.199 -7.129
10.180 1.877 5.859
Pm Er Tm Ac
4 8 2 2
Direct
0.500 0.500 0.000 Pm
0.000 0.000 0.500 Pm
0.500 0.000 0.000 Pm
0.500 0.000 0.500 Pm
0.743 0.759 0.506 Er
0.256 0.768 0.012 Er
0.268 0.756 0.512 Er
0.257 0.241 0.494 Er
0.741 0.757 0.994 Er
0.259 0.243 0.006 Er
0.732 0.244 0.488 Er
0.744 0.232 0.988 Er
0.000 0.000 0.000 Tm
0.500 0.500 0.500 Tm
0.000 0.500 0.500 Ac
0.000 0.500 0.000 Ac

=====

What mass density values result from the calculations? In sequence: 7.80; 8.45; 8.11; 7.87; 7.99; 8.17; 7.51; 8.05; 6.27; 7.79; 9.11; 10.27; 8.12; 8.47; 8.00; 7.69; 8.39; 8.44; 8.03; 8.20 g cm⁻³.
What D(E_F) values result from the calculations? In sequence: 15.38; 22.03; 11.24; 15.25; 29.07; 10.52; 28.00; 22.73; 0.00; 6.44; 6.90; 7.29; 17.24; 5.22; 17.16; 28.50; 6.82; 19.00; 14.68; 37.47 states/eV/cell.